1.
## NdReBi (PBE-GGA)

Data for a relaxed structure of NdReBi.

Properties
raw total energy = -0.213 hartree per atom

a = 5.012 Å, b = 5.012 Å, c = 5.012 Å
α = 60.00°, β = 60.00°, γ = 60.00°
Last column: magnetic moment on the atom in μB.
Fractional positions:
Bi: 0.250 0.250 0.250  -0.03
Nd: 0.000 0.000 0.000  -0.03
Re: 0.750 0.750 0.750  1.48


2.
## BaHf (PBE-GGA)

Data for a relaxed structure of BaHf.

Properties
raw total energy = -0.131 hartree per atom

a = 5.146 Å, b = 5.146 Å, c = 5.146 Å
α = 60.00°, β = 60.00°, γ = 60.00°
Last column: magnetic moment on the atom in μB.
Fractional positions:
Ba: 0.000 0.000 0.000  0.04
Hf: 0.250 0.250 0.250  0.20


3.
## HfAg2Sn2 (PBE-GGA)

Data for a relaxed structure of HfAg2Sn2.

Properties
raw total energy = -0.161 hartree per atom

a = 6.805 Å, b = 6.805 Å, c = 6.805 Å
α = 142.87°, β = 142.87°, γ = 53.53°
Fractional positions:
Ag: 0.396 0.396 0.000
Ag: 0.604 0.604 0.000
Hf: 0.000 0.000 0.000
Sn: 0.750 0.250 0.500
Sn: 0.250 0.750 0.500